Entry 1:
4
Lattice="3.8473 0.0000 0.0000 0.0000 3.8473 0.0000 0.0000 0.0000 3.4118" Properties=species:S:1:pos:R:3 comment="LiCrP2 meta-GGA SCAN single point on PBEsol structure" relative_energy_ev_per_atom=0.113 crystal_system=tetragonal total_magnetization_mub_per_cell=3.4 space_group="No. 123" rho_g_cm3=4.0 pbc="T T T"
Li 0.0000 0.0000 0.0000
Cr 1.9236 1.9236 0.0000
P 0.0000 1.9236 1.7059
P 1.9236 0.0000 1.7059

---

Entry 2:
4
Lattice="3.1266 0.0000 0.0000 0.0000 4.2664 0.0000 0.0000 0.0000 5.7115" Properties=species:S:1:pos:R:3 comment="Li2CrPb meta-GGA SCAN single point on PBEsol structure" crystal_system=orthorhombic total_magnetization_mub_per_cell=4.5 space_group="No. 47" rho_g_cm3=6.0 pbc="T T T"
Li 0.0000 0.0000 1.4072
Li 0.0000 0.0000 4.3043
Cr 1.5633 2.1332 0.0000
Pb 1.5633 2.1332 2.8557

---

Entry 3:
4
Lattice="3.1700 0.0000 0.0000 0.0000 4.0725 0.0000 0.0000 0.0000 5.9514" Properties=species:S:1:pos:R:3 comment="Li2CrPb meta-GGA SCAN single point on PBEsol structure" crystal_system=orthorhombic total_magnetization_mub_per_cell=4.3 space_group="No. 25" rho_g_cm3=5.9 pbc="T T T"
Li 0.0000 0.0000 0.0000
Li 1.5850 2.0362 1.5240
Cr 1.5850 2.0362 4.4581
Pb 0.0000 0.0000 3.0235

---

Entry 4:
5
Lattice="5.2279 0.0000 0.0000 0.0000 5.2279 0.0000 0.0000 0.0000 5.2279" Properties=species:S:1:pos:R:3 comment="LiCr3Pb meta-GGA SCAN single point on PBEsol structure" crystal_system=cubic total_magnetization_mub_per_cell=14.5 space_group="No. 221" rho_g_cm3=4.3 pbc="T T T"
Li 0.0000 0.0000 0.0000
Cr 0.0000 2.6140 2.6140
Cr 2.6140 0.0000 2.6140
Cr 2.6140 2.6140 0.0000
Pb 2.6140 2.6140 2.6140

---

no.,formation energy (eV per atom)
1,-0.191
2,0.000
3,-0.004
4,0.993